This record from the Alexandria database describes a geometry-optimized Li3VP2H2O9 structure. The functional is GGA+U.

Results
For the total energy, the calculation gives -6.5157 eV per atom. The total magnetic moment comes out at 2.0 μB/f.u. The value obtained for the density is 2.62 g/cm3.

abc: 14.5407 7.2393 6.7547
angles: 90.00 94.37 90.00
Space group C2/m (No. 12)
Unique sites:
Li 0.0000 0.2367 0.0000 x4
Li 0.1218 0.5000 0.6993 x4
Li 0.2500 0.2500 0.5000 x4
V 0.2500 0.2500 0.0000 x4
P 0.1057 0.5000 0.2336 x4
P 0.1218 0.0000 0.6846 x4
H 0.0507 0.0000 0.3601 x4
H 0.1936 0.0000 0.2295 x4
O 0.0015 0.5000 0.2407 x4
O 0.0283 0.0000 0.7770 x4
O 0.1140 0.0000 0.4492 x4
O 0.1307 0.3229 0.1110 x8
O 0.1634 0.5000 0.4356 x4
O 0.1773 0.1776 0.7392 x8
O 0.2415 0.0000 0.1344 x4